1.
Crystalline Sb3PbI at its relaxed geometry. Source: Alexandria, functional GGA-PBE.

abc: 5.7740 5.7740 5.7740
angles: 90.00 90.00 90.00
Last column: nearest neighbours and their distance in Å.
Space group Pm-3m (No. 221)
One atom of each set of equivalent atoms:
Sb  0.0000  0.0000  0.5000 [3 per cell]  2 I 2.89
Pb  0.5000  0.5000  0.5000 [1 per cell]  12 Sb 4.08
I  0.0000  0.0000  0.0000 [1 per cell]  6 Sb 2.89

Calculated values
- DOS at the Fermi energy: 4.48 states/eV/cell
- Spin magnetization: 0.00 μB/f.u.
- Raw total energy: -13.071 eV/cell
- Distance to the lowest polymorph of the same formula: 0.28 eV per formula unit


2.
Crystalline SbPbI2 at its relaxed geometry. Source: Alexandria, functional GGA-PBE.

abc: 8.0743 8.0743 8.0743
angles: 90.00 90.00 90.00
Last column: nearest neighbours and their distance in Å.
Space group Fm-3m (No. 225)
One atom of each set of equivalent atoms:
Sb  0.0000  0.0000  0.0000 [4 per cell]  8 I 3.50
Pb  0.0000  0.0000  0.5000 [4 per cell]  8 I 3.50
I  0.2500  0.2500  0.2500 [8 per cell]  4 Pb 3.50, 4 Sb 3.50

Calculated values
- DOS at the Fermi energy: 17.88 states/eV/cell
- Spin magnetization: 0.00 μB/f.u.
- Raw total energy: -41.120 eV/cell


Number 1: ΔE_f (raw) 4.555 eV/f.u.. Number 2: ΔE_f (raw) 0.651 eV/f.u..